Entry 1:
The following is a PBE calculation of an optimized crystal structure of Pa2Ge4Ir3Pt, from Alexandria via LeMat-Bulk.

Computed properties:
crystal system: tetragonal
energy of formation from the pure elements: -0.67 eV per atom
space group: P-4m2 (115)

Cell: 4.1949 4.1949 10.3081 Å, 90.00 90.00 90.00°
Element x y z (fractional)
Ir 0.0000 0.5000 0.1306
Ir 0.0000 0.0000 0.5000
Ir 0.5000 0.0000 0.8694
Ge 0.5000 0.5000 0.0000
Ge 0.0000 0.5000 0.3625
Ge 0.5000 0.0000 0.6375
Ge 0.0000 0.0000 0.0000
Pa 0.5000 0.0000 0.2458
Pa 0.0000 0.5000 0.7542
Pt 0.5000 0.5000 0.5000

=====

Entry 2:
The following is a PBE calculation of an optimized crystal structure of Nd5HgSe4, from Alexandria via LeMat-Bulk.

Computed properties:
crystal system: tetragonal
space group: I4/m (87)
E_form (uncorrected): -1.58 eV per atom

Cell: 6.0514 7.4069 7.4069 Å, 80.39 65.89 65.89°
Element x y z (fractional)
Nd 0.3073 0.7955 0.5919
Nd 0.8992 0.4081 0.7955
Nd 0.6946 0.2045 0.4081
Nd 0.5012 0.0000 0.0000
Nd 0.1027 0.5919 0.2045
Se 0.3997 0.4017 0.8007
Se 0.2005 0.1993 0.4017
Se 0.8015 0.8007 0.5983
Se 0.6022 0.5983 0.1993
Hg 0.0013 0.0000 0.0000

=====

Entry 3:
The following is a PBE calculation of an optimized crystal structure of Zr2MoRh, from Alexandria via LeMat-Bulk.

Computed properties:
crystal system: monoclinic
energy of formation from the pure elements: -0.18 eV per atom
space group: Pm (6)

Cell: 4.7402 2.9932 5.3024 Å, 77.80 90.00 90.00°
Element x y z (fractional)
Mo 0.0000 0.5142 0.4845
Zr 0.5000 0.2716 0.2708
Zr 0.0000 0.9894 0.9837
Rh 0.5000 0.7248 0.7610

=====

Entry 4:
The following is a PBE calculation of an optimized crystal structure of BaBi2Pt, from Alexandria via LeMat-Bulk.

Computed properties:
crystal system: tetragonal
energy of formation from the pure elements: -0.32 eV per atom
space group: I-42d (122)

Cell: 5.4407 5.4407 10.4775 Å, 74.95 74.95 90.00°
Element x y z (fractional)
Bi 0.0024 0.6250 0.2500
Bi 0.8750 0.9976 0.7500
Bi 0.3750 0.2524 0.7500
Bi 0.7476 0.1250 0.2500
Pt 0.0000 0.0000 0.0000
Pt 0.7500 0.2500 0.5000
Ba 0.2500 0.7500 0.5000
Ba 0.5000 0.5000 0.0000

=====

Entry 5:
The following is a PBE calculation of an optimized crystal structure of RbNbRh3, from Alexandria via LeMat-Bulk.

Computed properties:
crystal system: cubic
energy of formation from the pure elements: 2.37 eV per atom
space group: Pm-3m (221)
E above lowest polymorph: 1639 meV per atom

Cell: 4.7138 4.7138 4.7138 Å, 90.00 90.00 90.00°
Element x y z (fractional)
Rb 0.0000 0.0000 0.0000
Rh 0.0000 0.5000 0.0000
Rh 0.0000 0.0000 0.5000
Rh 0.5000 0.0000 0.0000
Nb 0.5000 0.5000 0.5000

=====

Entry 6:
The following is a PBE calculation of an optimized crystal structure of PrGd3Tc, from Alexandria via LeMat-Bulk.

Computed properties:
crystal system: cubic
energy of formation from the pure elements: 0.09 eV per atom
space group: Pm-3m (221)

Cell: 5.4322 5.4322 5.4322 Å, 90.00 90.00 90.00°
Site moments in Bohr magnetons follow the coordinates.
Element x y z (fractional)
Pr 0.5000 0.5000 0.5000  0.21
Tc 0.0000 0.0000 0.0000  -0.34
Gd 0.0000 0.5000 0.0000  7.09
Gd 0.0000 0.0000 0.5000  7.09
Gd 0.5000 0.0000 0.0000  7.09

=====

Entry 7:
The following is a PBE calculation of an optimized crystal structure of Na2LiAgF4, from Alexandria via LeMat-Bulk.

Computed properties:
crystal system: monoclinic
space group: C2/c (15)
E_form (uncorrected): -2.28 eV per atom

Cell: 6.6038 6.6038 6.5806 Å, 119.53 119.53 88.94°
Element x y z (fractional)
Li 0.5000 0.5000 0.5000
Li 0.0000 0.0000 0.0000
Na 0.5000 0.0000 0.0000
Na 0.0000 0.0000 0.5000
Na 0.5000 0.0000 0.5000
Na 0.5000 0.5000 0.0000
Ag 0.0000 0.5000 0.0000
Ag 0.0000 0.5000 0.5000
F 0.7491 0.7601 0.0042
F 0.3015 0.7425 0.5236
F 0.7575 0.1985 0.9764
F 0.7399 0.7509 0.4958
F 0.2509 0.2399 0.9958
F 0.6985 0.2575 0.4764
F 0.2601 0.2491 0.5042
F 0.2425 0.8015 0.0236

=====

Entry 8:
The following is a PBE calculation of an optimized crystal structure of Li4CaP2, from Alexandria via LeMat-Bulk.

Computed properties:
crystal system: tetragonal
energy of formation from the pure elements: -0.81 eV per atom
space group: P4_2/mnm (136)

Cell: 4.1754 7.4729 7.4729 Å, 90.00 90.00 90.00°
Element x y z (fractional)
P 0.0000 0.7836 0.2164
P 0.5000 0.7164 0.7164
P 0.5000 0.2836 0.2836
P 0.0000 0.2164 0.7836
Li 0.0000 0.3350 0.0992
Li 0.5000 0.1650 0.5992
Li 0.0000 0.6650 0.9008
Li 0.5000 0.4008 0.8350
Li 0.0000 0.9008 0.6650
Li 0.5000 0.8350 0.4008
Li 0.5000 0.5992 0.1650
Li 0.0000 0.0992 0.3350
Ca 0.5000 0.0000 0.0000
Ca 0.0000 0.5000 0.5000

=====

Entry 9:
The following is a PBE calculation of an optimized crystal structure of Li2InW, from Alexandria via LeMat-Bulk.

Computed properties:
crystal system: tetragonal
energy of formation from the pure elements: 0.29 eV per atom
space group: P4mm (99)

Cell: 2.8729 2.8729 8.0671 Å, 90.00 90.00 90.00°
Element x y z (fractional)
In 0.5000 0.5000 0.7602
Li 0.0000 0.0000 0.0109
Li 0.5000 0.5000 0.2451
W 0.0000 0.0000 0.4838

=====

Entry 10:
The following is a PBE calculation of an optimized crystal structure of Cs3Pr3VSe8, from Alexandria via LeMat-Bulk.

Computed properties:
crystal system: trigonal
space group: R-3m (166)
E_form (uncorrected): -1.43 eV per atom

Cell: 8.4969 8.4972 9.8879 Å, 115.48 90.00 120.00°
Site moments in Bohr magnetons follow the coordinates.
Element x y z (fractional)
Pr 0.5000 0.5000 0.5000  0.01
Pr 0.5000 0.0000 0.5000  0.01
Pr 0.0000 0.5000 0.5000  0.01
Se 0.2683 0.5367 0.3052  -0.01
Se 0.7948 0.5895 0.3256  -0.04
Se 0.2359 0.0306 0.3256  -0.04
Se 0.7641 0.9694 0.6744  -0.04
Se 0.7317 0.4633 0.6948  -0.01
Se 0.2052 0.9694 0.6744  -0.04
Se 0.2052 0.4105 0.6744  -0.04
Se 0.7948 0.0306 0.3256  -0.04
V 0.0000 0.0000 0.5000  1.25
Cs 0.0000 0.5000 0.0000  0.00
Cs 0.0000 0.0000 0.0000  0.00
Cs 0.5000 0.5000 0.0000  0.00

=====

Entry 11:
The following is a PBE calculation of an optimized crystal structure of Ca3MgI8, from Alexandria via LeMat-Bulk.

Computed properties:
crystal system: monoclinic
space group: C2/m (12)
E_form (uncorrected): -1.47 eV per atom

Cell: 8.9085 8.9054 9.4014 Å, 118.55 90.00 120.01°
Element x y z (fractional)
Mg 0.0000 0.0000 0.0000
I 0.2323 0.4646 0.2206
I 0.7440 0.4881 0.2299
I 0.7677 0.0094 0.7794
I 0.7584 0.9906 0.2206
I 0.2323 0.9906 0.2206
I 0.2560 0.5119 0.7701
I 0.7677 0.5354 0.7794
I 0.2416 0.0094 0.7794
Ca 0.0000 0.5000 0.0000
Ca 0.5000 0.0000 0.0000
Ca 0.5000 0.5000 0.0000

=====

Entry 12:
The following is a PBE calculation of an optimized crystal structure of LaPmPr4Ho2, from Alexandria via LeMat-Bulk.

Computed properties:
crystal system: monoclinic
energy of formation from the pure elements: 0.02 eV per atom
space group: P2/m (10)

Cell: 3.6807 6.3245 12.1354 Å, 79.83 90.00 90.00°
Element x y z (fractional)
La 0.5000 0.5000 0.0000
Ho 0.5000 0.0000 0.5000
Ho 0.0000 0.0000 0.0000
Pr 0.0000 0.7520 0.7463
Pr 0.5000 0.2484 0.7506
Pr 0.0000 0.2480 0.2537
Pr 0.5000 0.7516 0.2494
Pm 0.0000 0.5000 0.5000

=====

Entry 13:
The following is a PBE calculation of an optimized crystal structure of TbYCoNi, from Alexandria via LeMat-Bulk.

Computed properties:
crystal system: cubic
energy of formation from the pure elements: -0.24 eV per atom
space group: F-43m (216)
E above lowest polymorph: 62 meV per atom

Cell: 4.7649 4.7649 4.7649 Å, 60.00 60.00 60.00°
Site moments in Bohr magnetons follow the coordinates.
Element x y z (fractional)
Co 0.5000 0.5000 0.5000  0.18
Ni 0.0000 0.0000 0.0000  0.01
Tb 0.2500 0.2500 0.2500  -0.03
Y 0.7500 0.7500 0.7500  -0.02

=====

Entry 14:
The following is a PBE calculation of an optimized crystal structure of ZnRhBr2, from Alexandria via LeMat-Bulk.

Computed properties:
crystal system: monoclinic
space group: C2/m (12)
E above lowest polymorph: 338 meV per atom
E_form (uncorrected): 0.13 eV per atom

Cell: 3.9672 3.9672 6.9123 Å, 73.30 73.30 59.69°
Site moments in Bohr magnetons follow the coordinates.
Element x y z (fractional)
Zn 0.7500 0.7500 0.7500  -0.06
Br 0.5109 0.5109 0.4641  0.06
Br 0.9891 0.9891 0.0359  0.06
Rh 0.2500 0.2500 0.2500  0.96

=====

Entry 15:
The following is a PBE calculation of an optimized crystal structure of LiTlGeBi, from Alexandria via LeMat-Bulk.

Computed properties:
crystal system: cubic
energy of formation from the pure elements: 0.00 eV per atom
space group: F-43m (216)

Cell: 5.2175 5.2175 5.2175 Å, 60.00 60.00 60.00°
Element x y z (fractional)
Tl 0.5000 0.5000 0.5000
Ge 0.2500 0.2500 0.2500
Bi 0.0000 0.0000 0.0000
Li 0.7500 0.7500 0.7500

=====

Entry 16:
The following is a PBE calculation of an optimized crystal structure of MoRu2, from Alexandria via LeMat-Bulk.

Computed properties:
crystal system: tetragonal
energy of formation from the pure elements: 0.30 eV per atom
space group: I4_1/amd (141)

Cell: 12.1708 12.1708 12.1708 Å, 167.01 167.01 18.41°
Element x y z (fractional)
Ru 0.1708 0.6708 0.5000
Ru 0.3292 0.8292 0.5000
Ru 0.4208 0.4208 0.0000
Ru 0.5792 0.5792 0.0000
Mo 0.0000 0.0000 0.0000
Mo 0.7500 0.2500 0.5000

=====

Entry 17:
The following is a PBE calculation of an optimized crystal structure of Er3CdGa12, from Alexandria via LeMat-Bulk.

Computed properties:
crystal system: tetragonal
energy of formation from the pure elements: -0.36 eV per atom
space group: P4/mmm (123)

Cell: 4.2686 4.2686 17.0064 Å, 90.00 90.00 90.00°
Element x y z (fractional)
Ga 0.5000 0.5000 0.2566
Ga 0.0000 0.5000 0.6255
Ga 0.5000 0.5000 0.7434
Ga 0.5000 0.5000 0.5000
Ga 0.5000 0.0000 0.6255
Ga 0.0000 0.5000 0.3745
Ga 0.5000 0.0000 0.3745
Ga 0.0000 0.5000 0.1218
Ga 0.5000 0.0000 0.1218
Ga 0.5000 0.0000 0.8782
Ga 0.5000 0.5000 0.0000
Ga 0.0000 0.5000 0.8782
Er 0.0000 0.0000 0.5000
Er 0.0000 0.0000 0.7496
Er 0.0000 0.0000 0.2504
Cd 0.0000 0.0000 0.0000

=====

Entry 18:
The following is a PBE calculation of an optimized crystal structure of CaTbPmEu, from Alexandria via LeMat-Bulk.

Computed properties:
crystal system: cubic
energy of formation from the pure elements: 0.13 eV per atom
space group: F-43m (216)

Cell: 5.9117 5.9117 5.9117 Å, 60.00 60.00 60.00°
Site moments in Bohr magnetons follow the coordinates.
Element x y z (fractional)
Eu 0.0000 0.0000 0.0000  6.86
Pm 0.5000 0.5000 0.5000  0.00
Ca 0.2500 0.2500 0.2500  0.01
Tb 0.7500 0.7500 0.7500  0.02

=====

Entry 19:
The following is a PBE calculation of an optimized crystal structure of ErMgGa, from Alexandria via LeMat-Bulk.

Computed properties:
crystal system: cubic
energy of formation from the pure elements: -0.33 eV per atom
space group: F-43m (216)

Cell: 4.7193 4.7193 4.7193 Å, 60.00 60.00 60.00°
Element x y z (fractional)
Mg 0.5000 0.5000 0.5000
Er 0.0000 0.0000 0.0000
Ga 0.2500 0.2500 0.2500

=====

Entry 20:
The following is a PBE calculation of an optimized crystal structure of Ho5GaSb4, from Alexandria via LeMat-Bulk.

Computed properties:
crystal system: tetragonal
space group: I4/m (87)
E_form (uncorrected): -0.91 eV per atom

Cell: 6.1171 7.4998 7.4998 Å, 80.43 65.93 65.93°
Element x y z (fractional)
Sb 0.5980 0.6022 0.2037
Sb 0.4039 0.3978 0.7963
Sb 0.8017 0.7963 0.6022
Sb 0.2002 0.2037 0.3978
Ho 0.1023 0.6014 0.1958
Ho 0.5015 0.0000 0.0000
Ho 0.2981 0.8042 0.6014
Ho 0.7037 0.1958 0.3986
Ho 0.8995 0.3986 0.8042
Ga 0.0015 0.0000 0.0000

=====

Entry 21:
The following is a PBE calculation of an optimized crystal structure of BaPu2Cu2Se6, from Alexandria via LeMat-Bulk.

Computed properties:
crystal system: triclinic
space group: P-1 (2)
E_form (uncorrected): -1.05 eV per atom

Cell: 7.4985 7.8633 7.8978 Å, 121.77 91.08 60.12°
Site moments in Bohr magnetons follow the coordinates.
Element x y z (fractional)
Se 0.2036 0.8424 0.5826  -0.16
Se 0.0410 0.5486 0.8057  -0.16
Se 0.9590 0.4514 0.1943  -0.16
Se 0.4050 0.7947 0.0523  -0.17
Se 0.7964 0.1576 0.4174  -0.16
Se 0.5950 0.2053 0.9477  -0.17
Ba 0.5000 0.0000 0.5000  -0.01
Cu 0.8005 0.2492 0.1790  -0.14
Cu 0.1995 0.7508 0.8210  -0.14
Pu 0.8298 0.3428 0.8308  4.76
Pu 0.1702 0.6572 0.1692  4.76

=====

Entry 22:
The following is a PBE calculation of an optimized crystal structure of SrSn2GeF, from Alexandria via LeMat-Bulk.

Computed properties:
crystal system: tetragonal
space group: P4/mmm (123)
E_form (uncorrected): -0.36 eV per atom

Cell: 5.2153 6.3362 5.2153 Å, 90.00 90.00 90.00°
Element x y z (fractional)
F 0.5000 0.5000 0.5000
Sn 0.5000 0.0000 0.0000
Sn 0.0000 0.0000 0.5000
Ge 0.0000 0.0000 0.0000
Sr 0.0000 0.5000 0.0000

=====

Entry 23:
The following is a PBE calculation of an optimized crystal structure of Mg2ZnAgRh, from Alexandria via LeMat-Bulk.

Computed properties:
crystal system: tetragonal
energy of formation from the pure elements: 0.66 eV per atom
space group: P4/mmm (123)

Cell: 4.8760 4.9887 4.8760 Å, 90.00 90.00 90.00°
Element x y z (fractional)
Ag 0.0000 0.0000 0.0000
Mg 0.5000 0.0000 0.0000
Mg 0.0000 0.0000 0.5000
Rh 0.0000 0.5000 0.0000
Zn 0.5000 0.5000 0.5000

=====

Entry 24:
The following is a PBE calculation of an optimized crystal structure of PaV2Ge, from Alexandria via LeMat-Bulk.

Computed properties:
crystal system: tetragonal
energy of formation from the pure elements: -0.13 eV per atom
space group: P4/mmm (123)
E above lowest polymorph: 0 meV per atom

Cell: 3.4985 4.3429 4.3429 Å, 90.00 90.00 90.00°
Site moments in Bohr magnetons follow the coordinates.
Element x y z (fractional)
V 0.0000 0.0000 0.5000  0.54
V 0.0000 0.5000 0.0000  0.54
Ge 0.5000 0.0000 0.0000  -0.02
Pa 0.5000 0.5000 0.5000  0.33

=====

Entry 25:
The following is a PBE calculation of an optimized crystal structure of ErCuSi, from Alexandria via LeMat-Bulk.

Computed properties:
crystal system: tetragonal
space group: I4mm (107)
E_form (uncorrected): -0.07 eV per atom

Cell: 3.8420 3.8420 4.8215 Å, 113.48 113.48 90.00°
Element x y z (fractional)
Si 0.9671 0.9671 0.9342
Cu 0.2686 0.2686 0.5373
Er 0.6143 0.6143 0.2285